1.
Entry from Alexandria via LeMat-Bulk: a geometry-optimized Ac5Tl2Ge structure (GGA-PBE).

Results
For the formation energy, the calculation gives -0.36 eV per atom. The raw total energy is -4.10 eV per atom. The space-group type is Pbam (55).

abc: 5.488 7.585 14.066
angles: 90.00 90.00 90.00
Element x y z (fractional)
Ge (0.000, 0.000, 0.000)
Ac (0.000, 0.358, 0.286)
Ac (0.000, 0.858, 0.214)
Ac (0.500, 0.665, 0.412)
Ac (0.000, 0.642, 0.714)
Tl (0.500, 0.603, 0.156)
Ac (0.500, 0.165, 0.088)
Ac (0.000, 0.000, 0.500)
Ac (0.000, 0.142, 0.786)
Ge (0.000, 0.500, 0.500)
Ac (0.500, 0.335, 0.588)
Tl (0.500, 0.103, 0.344)
Ac (0.500, 0.835, 0.912)
Tl (0.500, 0.897, 0.656)
Ac (0.000, 0.500, 0.000)
Tl (0.500, 0.397, 0.844)

***

2.
Entry from Alexandria via LeMat-Bulk: a geometry-optimized Ca2BeZnPt2 structure (GGA-PBE).

Results
For the formation energy, the calculation gives -0.72 eV per atom. The raw total energy is -4.24 eV per atom. The space-group type is Ibam (72).

abc: 5.917 5.836 8.010
angles: 111.36 111.68 90.00
Element x y z (fractional)
Zn (0.000, 0.750, 0.000)
Ca (0.411, 0.170, 0.340)
Be (0.500, 0.250, 0.000)
Be (0.500, 0.750, 0.000)
Pt (0.188, 0.902, 0.804)
Ca (0.070, 0.330, 0.660)
Pt (0.383, 0.598, 0.196)
Pt (0.617, 0.402, 0.804)
Pt (0.812, 0.098, 0.196)
Ca (0.930, 0.670, 0.340)
Ca (0.589, 0.830, 0.660)
Zn (0.000, 0.250, 0.000)